Entry 1:
Below is a relaxed structure of TlNiH2Ir, with properties calculated at the PBE level.

```
data_TlNiH2Ir
_chemical_formula_sum 'Tl1 Ni1 H2 Ir1'
_space_group_name_H-M_alt 'P 1'
_space_group_IT_number 1
_cell_length_a 3.6653
_cell_length_b 3.6653
_cell_length_c 5.2624
_cell_angle_alpha 90.00
_cell_angle_beta 90.00
_cell_angle_gamma 90.00
loop_
_space_group_symop_operation_xyz
'x,y,z'
loop_
_atom_site_label
_atom_site_type_symbol
_atom_site_fract_x
_atom_site_fract_y
_atom_site_fract_z
Ni1 Ni 0.0000 0.0000 0.0000
Tl1 Tl 0.0000 0.0000 0.5000
Ir1 Ir 0.5000 0.5000 0.5000
H1 H 0.0000 0.5000 0.0000
H2 H 0.5000 0.0000 0.0000
```

Summary:
V: 14.1 A^3/atom

---

Entry 2:
Below is a relaxed structure of VNiHIr2, with properties calculated at the PBE level.

```
data_VNiHIr2
_chemical_formula_sum 'V1 Ni1 H1 Ir2'
_space_group_name_H-M_alt 'P 1'
_space_group_IT_number 1
_cell_length_a 3.9106
_cell_length_b 3.9106
_cell_length_c 3.6598
_cell_angle_alpha 90.00
_cell_angle_beta 90.00
_cell_angle_gamma 90.00
loop_
_space_group_symop_operation_xyz
'x,y,z'
loop_
_atom_site_label
_atom_site_type_symbol
_atom_site_fract_x
_atom_site_fract_y
_atom_site_fract_z
Ni1 Ni 0.0000 0.0000 0.5000
Ir1 Ir 0.0000 0.5000 0.0000
Ir2 Ir 0.5000 0.0000 0.0000
H1 H 0.0000 0.0000 0.0000
V1 V 0.5000 0.5000 0.5000
```

Summary:
V: 11.2 A^3/atom

---

Entry 3:
Below is a relaxed structure of NiHIrW2, with properties calculated at the PBE level.

```
data_NiHIrW2
_chemical_formula_sum 'Ni1 H1 Ir1 W2'
_space_group_name_H-M_alt 'P 1'
_space_group_IT_number 1
_cell_length_a 3.9194
_cell_length_b 3.9194
_cell_length_c 3.9038
_cell_angle_alpha 90.00
_cell_angle_beta 90.00
_cell_angle_gamma 90.00
loop_
_space_group_symop_operation_xyz
'x,y,z'
loop_
_atom_site_label
_atom_site_type_symbol
_atom_site_fract_x
_atom_site_fract_y
_atom_site_fract_z
Ni1 Ni 0.0000 0.0000 0.5000
Ir1 Ir 0.5000 0.5000 0.5000
W1 W 0.0000 0.5000 0.0000
W2 W 0.5000 0.0000 0.0000
H1 H 0.0000 0.0000 0.0000
```

Summary:
V: 12.0 A^3/atom

---

Entry 4:
Below is a relaxed structure of Y2NiHIr, with properties calculated at the PBE level.

```
data_Y2NiHIr
_chemical_formula_sum 'Y2 Ni1 H1 Ir1'
_space_group_name_H-M_alt 'P 1'
_space_group_IT_number 1
_cell_length_a 4.8649
_cell_length_b 4.8649
_cell_length_c 3.4542
_cell_angle_alpha 90.00
_cell_angle_beta 90.00
_cell_angle_gamma 90.00
loop_
_space_group_symop_operation_xyz
'x,y,z'
loop_
_atom_site_label
_atom_site_type_symbol
_atom_site_fract_x
_atom_site_fract_y
_atom_site_fract_z
Y1 Y 0.0000 0.5000 0.0000
Y2 Y 0.5000 0.0000 0.0000
Ni1 Ni 0.0000 0.0000 0.5000
Ir1 Ir 0.5000 0.5000 0.5000
H1 H 0.0000 0.0000 0.0000
```

Summary:
polymorph energy (0 for the lowest one): 0 meV per atom
V: 16.4 A^3/atom

---

Entry 5:
Below is a relaxed structure of Y2NiHIr, with properties calculated at the PBE level.

```
data_Y2NiHIr
_chemical_formula_sum 'Y2 Ni1 H1 Ir1'
_space_group_name_H-M_alt 'P 1'
_space_group_IT_number 1
_cell_length_a 4.8924
_cell_length_b 4.8924
_cell_length_c 3.5407
_cell_angle_alpha 90.00
_cell_angle_beta 90.00
_cell_angle_gamma 90.00
loop_
_space_group_symop_operation_xyz
'x,y,z'
loop_
_atom_site_label
_atom_site_type_symbol
_atom_site_fract_x
_atom_site_fract_y
_atom_site_fract_z
Y1 Y 0.0000 0.5000 0.0000
Y2 Y 0.5000 0.0000 0.0000
Ni1 Ni 0.5000 0.5000 0.5000
Ir1 Ir 0.0000 0.0000 0.5000
H1 H 0.0000 0.0000 0.0000
```

Summary:
polymorph energy (0 for the lowest one): 83 meV per atom
V: 16.9 A^3/atom

---

Entry 6:
Below is a relaxed structure of Zn2NiHIr, with properties calculated at the PBE level.

```
data_Zn2NiHIr
_chemical_formula_sum 'Zn2 Ni1 H1 Ir1'
_space_group_name_H-M_alt 'P 1'
_space_group_IT_number 1
_cell_length_a 4.1832
_cell_length_b 4.1832
_cell_length_c 3.1878
_cell_angle_alpha 90.00
_cell_angle_beta 90.00
_cell_angle_gamma 90.00
loop_
_space_group_symop_operation_xyz
'x,y,z'
loop_
_atom_site_label
_atom_site_type_symbol
_atom_site_fract_x
_atom_site_fract_y
_atom_site_fract_z
Ni1 Ni 0.0000 0.0000 0.5000
Zn1 Zn 0.0000 0.5000 0.0000
Zn2 Zn 0.5000 0.0000 0.0000
Ir1 Ir 0.5000 0.5000 0.5000
H1 H 0.0000 0.0000 0.0000
```

Summary:
polymorph energy (0 for the lowest one): 0 meV per atom
V: 11.2 A^3/atom

---

Entry 7:
Below is a relaxed structure of ZnNi2HIr, with properties calculated at the PBE level.

```
data_ZnNi2HIr
_chemical_formula_sum 'Zn1 Ni2 H1 Ir1'
_space_group_name_H-M_alt 'P 1'
_space_group_IT_number 1
_cell_length_a 3.6189
_cell_length_b 3.6189
_cell_length_c 3.9862
_cell_angle_alpha 90.00
_cell_angle_beta 90.00
_cell_angle_gamma 90.00
loop_
_space_group_symop_operation_xyz
'x,y,z'
loop_
_atom_site_label
_atom_site_type_symbol
_atom_site_fract_x
_atom_site_fract_y
_atom_site_fract_z
Ni1 Ni 0.0000 0.5000 0.0000
Ni2 Ni 0.5000 0.0000 0.0000
Zn1 Zn 0.0000 0.0000 0.5000
Ir1 Ir 0.5000 0.5000 0.5000
H1 H 0.0000 0.0000 0.0000
```

Summary:
polymorph energy (0 for the lowest one): 111 meV per atom
V: 10.4 A^3/atom

---

Entry 8:
Below is a relaxed structure of Zn2NiHIr, with properties calculated at the PBE level.

```
data_Zn2NiHIr
_chemical_formula_sum 'Zn2 Ni1 H1 Ir1'
_space_group_name_H-M_alt 'P 1'
_space_group_IT_number 1
_cell_length_a 4.7947
_cell_length_b 3.1959
_cell_length_c 4.7947
_cell_angle_alpha 90.00
_cell_angle_beta 90.00
_cell_angle_gamma 90.00
loop_
_space_group_symop_operation_xyz
'x,y,z'
loop_
_atom_site_label
_atom_site_type_symbol
_atom_site_fract_x
_atom_site_fract_y
_atom_site_fract_z
Ni1 Ni 0.5000 0.5000 0.5000
Zn1 Zn 0.0000 0.0000 0.5000
Zn2 Zn 0.5000 0.0000 0.0000
Ir1 Ir 0.0000 0.0000 0.0000
H1 H 0.0000 0.5000 0.0000
```

Summary:
polymorph energy (0 for the lowest one): 538 meV per atom
V: 14.7 A^3/atom

---

no.,theoretical density (Mg/m³),magnetization (μB/f.u.),E (eV per atom)
1,10.7,0.00,-3.7618
2,14.7,0.29,-7.3499
3,17.2,0.00,-8.7449
4,8.7,0.00,-6.7938
5,8.4,0.00,-6.7104
6,11.4,0.00,-4.1741
7,12.0,0.00,-4.9760
8,8.7,0.00,-3.6364